## LiPa2Ni4Ge3 (PBE)

Data for an optimized crystal structure of LiPa2Ni4Ge3.

abc: 3.985 3.985 9.945
angles: 90.00 90.00 90.00
Element x y z (fractional)
Ge 0.000 0.500 0.128
Ge 0.000 0.000 0.500
Ge 0.500 0.000 0.872
Li 0.500 0.500 0.500
Ni 0.000 0.000 0.000
Ni 0.500 0.000 0.638
Ni 0.000 0.500 0.362
Ni 0.500 0.500 0.000
Pa 0.500 0.000 0.250
Pa 0.000 0.500 0.750

Computed properties:
SG ... P-4m2, No. 115
ΔE_f ... -0.52 eV/atom



## LiPaNiGe (PBE)

Data for an optimized crystal structure of LiPaNiGe.

abc: 4.514 4.514 4.514
angles: 60.00 60.00 60.00
Element x y z (fractional)
Li 0.500 0.500 0.500
Ni 0.000 0.000 0.000
Ge 0.250 0.250 0.250
Pa 0.750 0.750 0.750

Computed properties:
SG ... F-43m, No. 216
ΔE_f ... -0.25 eV/atom



## LiPmNiGe2 (PBE)

Data for an optimized crystal structure of LiPmNiGe2.

abc: 4.122 4.122 5.903
angles: 110.43 110.43 90.00
Element x y z (fractional)
Ge 0.623 0.623 0.247
Ge 0.377 0.377 0.753
Ni 0.250 0.750 0.500
Li 0.750 0.250 0.500
Pm 0.000 0.000 0.000

Computed properties:
SG ... I-4m2, No. 119
ΔE_f ... -0.64 eV/atom



## LiPmNi2Ge2 (PBE)

Data for an optimized crystal structure of LiPmNi2Ge2.

abc: 4.097 4.097 6.743
angles: 90.00 90.00 120.00
Element x y z (fractional)
Li 0.000 0.000 0.500
Pm 0.000 0.000 0.000
Ge 0.333 0.667 0.286
Ge 0.667 0.333 0.714
Ni 0.667 0.333 0.361
Ni 0.333 0.667 0.639

Computed properties:
SG ... P-3m1, No. 164
ΔE_f ... -0.62 eV/atom



## LiPmNiGe (PBE)

Data for an optimized crystal structure of LiPmNiGe.

abc: 4.548 4.548 4.548
angles: 60.00 60.00 60.00
Element x y z (fractional)
Li 0.000 0.000 0.000
Pm 0.250 0.250 0.250
Ge 0.750 0.750 0.750
Ni 0.500 0.500 0.500

Computed properties:
SG ... F-43m, No. 216
ΔE_f ... -0.51 eV/atom



## LiPm2Ni3Ge4 (PBE)

Data for an optimized crystal structure of LiPm2Ni3Ge4.

abc: 4.179 4.179 9.770
angles: 90.00 90.00 90.00
Element x y z (fractional)
Pm 0.000 0.500 0.751
Pm 0.500 0.000 0.249
Ge 0.500 0.000 0.635
Ge 0.500 0.500 0.000
Ge 0.000 0.500 0.365
Ge 0.000 0.000 0.000
Ni 0.000 0.500 0.121
Ni 0.000 0.000 0.500
Ni 0.500 0.000 0.879
Li 0.500 0.500 0.500

Computed properties:
SG ... P-4m2, No. 115
ΔE_f ... -0.66 eV/atom



## LiPr2Ni3Ge4 (PBE)

Data for an optimized crystal structure of LiPr2Ni3Ge4.

abc: 4.222 4.222 9.784
angles: 90.00 90.00 90.00
Element x y z (fractional)
Ni 0.500 0.000 0.880
Ni 0.000 0.000 0.500
Ni 0.000 0.500 0.120
Pr 0.500 0.000 0.250
Pr 0.000 0.500 0.750
Ge 0.500 0.000 0.634
Ge 0.000 0.500 0.366
Ge 0.000 0.000 0.000
Ge 0.500 0.500 0.000
Li 0.500 0.500 0.500

Computed properties:
SG ... P-4m2, No. 115
ΔE_f ... -0.65 eV/atom



## Li2Pr2NiGe4 (PBE)

Data for an optimized crystal structure of Li2Pr2NiGe4.

abc: 6.263 6.263 6.263
angles: 88.86 120.66 120.66
Element x y z (fractional)
Pr 0.500 0.250 0.750
Pr 0.500 0.750 0.250
Li 0.000 0.287 0.287
Li 0.000 0.713 0.713
Ge 0.000 0.276 0.724
Ge 0.553 0.276 0.276
Ge 0.447 0.724 0.724
Ge 0.000 0.724 0.276
Ni 0.000 0.000 0.000

Computed properties:
SG ... I4/mmm, No. 139
ΔE_f ... -0.52 eV/atom



## LiPrNiGe2 (PBE)

Data for an optimized crystal structure of LiPrNiGe2.

abc: 4.177 4.177 5.908
angles: 110.71 110.71 90.00
Element x y z (fractional)
Ge 0.625 0.625 0.250
Ge 0.375 0.375 0.750
Pr 0.000 0.000 0.000
Li 0.750 0.250 0.500
Ni 0.250 0.750 0.500

Computed properties:
SG ... I-4m2, No. 119
ΔE_f ... -0.63 eV/atom



## LiNiGe2Pt (PBE)

Data for an optimized crystal structure of LiNiGe2Pt.

abc: 4.430 4.249 4.430
angles: 90.00 90.00 90.00
Element x y z (fractional)
Ge 0.000 0.000 0.500
Ge 0.500 0.000 0.000
Pt 0.500 0.500 0.500
Ni 0.000 0.000 0.000
Li 0.000 0.500 0.000

Computed properties:
SG ... P4/mmm, No. 123
ΔE_f ... 0.06 eV/atom



## Li3Ni2Ge4Pt2 (PBE)

Data for an optimized crystal structure of Li3Ni2Ge4Pt2.

abc: 4.339 4.339 9.813
angles: 90.00 90.00 120.00
Element x y z (fractional)
Ge 0.333 0.667 0.421
Ge 0.667 0.333 0.579
Ge 0.333 0.667 0.899
Ge 0.667 0.333 0.101
Ni 0.333 0.667 0.657
Ni 0.667 0.333 0.343
Li 0.000 0.000 0.000
Li 0.000 0.000 0.282
Li 0.000 0.000 0.718
Pt 0.333 0.667 0.162
Pt 0.667 0.333 0.838

Computed properties:
SG ... P-3m1, No. 164
ΔE_f ... -0.45 eV/atom



## LiPu2Ni3Ge4 (PBE)

Data for an optimized crystal structure of LiPu2Ni3Ge4.

abc: 4.155 4.155 9.660
angles: 90.00 90.00 90.00
Each line ends with the local moment (μB).
Element x y z (fractional)
Ni 0.500 0.000 0.878  0.00
Ni 0.000 0.000 0.500  -0.03
Ni 0.000 0.500 0.122  0.00
Ge 0.000 0.000 0.000  -0.02
Ge 0.500 0.500 0.000  -0.03
Ge 0.500 0.000 0.636  -0.04
Ge 0.000 0.500 0.364  -0.04
Li 0.500 0.500 0.500  -0.01
Pu 0.500 0.000 0.251  5.09
Pu 0.000 0.500 0.749  5.09

Computed properties:
SG ... P-4m2, No. 115
ΔE_f ... -0.46 eV/atom



Number 11 is which compound? Li3Ni2Ge4Pt2



What is the ΔE_f in the fourth record? -0.62 eV/atom